(1)
HfZnCu: relaxed, PBE.

Values from the calculation:
Density in g cm⁻³: 10.80
Calculated formation energy in eV per atom: -0.113

Cell: 3.0619 3.0619 10.0830 Å, 90.00 90.00 90.00°
Atoms (fractional coordinates):
Hf (0.0000, 0.0000, 0.0000)
Hf (0.5000, 0.5000, 0.5000)
Zn (0.0000, 0.0000, 0.3099)
Zn (0.0000, 0.0000, 0.6901)
Cu (0.5000, 0.5000, 0.1769)
Cu (0.5000, 0.5000, 0.8231)

(2)
Hf3Zr2Cu2: relaxed, PBE.

Values from the calculation:
Density in g cm⁻³: 10.28
Calculated formation energy in eV per atom: 0.005

Cell: 7.3415 7.3415 7.3415 Å, 38.29 38.29 38.29°
Atoms (fractional coordinates):
Hf (0.0000, 0.0000, 0.0000)
Hf (0.2677, 0.2677, 0.2677)
Hf (0.6892, 0.6892, 0.6892)
Zr (0.4216, 0.4216, 0.4216)
Zr (0.8460, 0.8460, 0.8460)
Cu (0.1311, 0.1311, 0.1311)
Cu (0.5601, 0.5601, 0.5601)

(3)
HfZrCu: relaxed, PBE.

Values from the calculation:
Density in g cm⁻³: 9.72
Calculated formation energy in eV per atom: -0.151
E above lowest polymorph in meV/atom: 0.0

Cell: 3.1933 3.1933 11.1642 Å, 90.00 90.00 90.00°
Atoms (fractional coordinates):
Hf (0.0000, 0.0000, 0.0000)
Hf (0.5000, 0.5000, 0.5000)
Zr (0.0000, 0.0000, 0.3108)
Zr (0.5000, 0.5000, 0.8108)
Cu (0.0000, 0.0000, 0.6472)
Cu (0.5000, 0.5000, 0.1472)

(4)
HfZr2Cu: relaxed, PBE.

Values from the calculation:
Density in g cm⁻³: 9.03
Calculated formation energy in eV per atom: 0.142

Cell: 6.7841 6.7841 6.7841 Å, 90.00 90.00 90.00°
Atoms (fractional coordinates):
Hf (0.0000, 0.0000, 0.0000)
Hf (0.0000, 0.5000, 0.5000)
Hf (0.5000, 0.0000, 0.5000)
Hf (0.5000, 0.5000, 0.0000)
Zr (0.0000, 0.0000, 0.5000)
Zr (0.0000, 0.5000, 0.0000)
Zr (0.2500, 0.2500, 0.2500)
Zr (0.2500, 0.7500, 0.7500)
Zr (0.5000, 0.0000, 0.0000)
Zr (0.5000, 0.5000, 0.5000)
Zr (0.7500, 0.2500, 0.7500)
Zr (0.7500, 0.7500, 0.2500)
Cu (0.2500, 0.2500, 0.7500)
Cu (0.2500, 0.7500, 0.2500)
Cu (0.7500, 0.2500, 0.2500)
Cu (0.7500, 0.7500, 0.7500)

(5)
HfZrCu: relaxed, PBE.

Values from the calculation:
Density in g cm⁻³: 8.85
Calculated formation energy in eV per atom: 0.272
E above lowest polymorph in meV/atom: 422.7

Cell: 6.3006 6.3006 6.3006 Å, 90.00 90.00 90.00°
Atoms (fractional coordinates):
Hf (0.0000, 0.0000, 0.0000)
Hf (0.0000, 0.5000, 0.5000)
Hf (0.5000, 0.0000, 0.5000)
Hf (0.5000, 0.5000, 0.0000)
Zr (0.0000, 0.0000, 0.5000)
Zr (0.0000, 0.5000, 0.0000)
Zr (0.5000, 0.0000, 0.0000)
Zr (0.5000, 0.5000, 0.5000)
Cu (0.2500, 0.2500, 0.2500)
Cu (0.2500, 0.7500, 0.7500)
Cu (0.7500, 0.2500, 0.7500)
Cu (0.7500, 0.7500, 0.2500)

(6)
HfZrCu: relaxed, PBE.

Values from the calculation:
Density in g cm⁻³: 9.71
Calculated formation energy in eV per atom: -0.149
E above lowest polymorph in meV/atom: 2.6

Cell: 3.2007 3.2007 11.1216 Å, 90.00 90.00 90.00°
Atoms (fractional coordinates):
Hf (0.0000, 0.0000, 0.1541)
Hf (0.0000, 0.0000, 0.8459)
Zr (0.5000, 0.5000, 0.3440)
Zr (0.5000, 0.5000, 0.6560)
Cu (0.0000, 0.0000, 0.5000)
Cu (0.5000, 0.5000, 0.0000)

(7)
Cu15Hg: relaxed, PBE.

Values from the calculation:
Density in g cm⁻³: 6.12
Calculated formation energy in eV per atom: 0.085
E above lowest polymorph in meV/atom: 27.9

Cell: 4.3969 34.1577 4.3976 Å, 90.00 108.62 90.00°
Atoms (fractional coordinates):
Cu (0.0000, 0.0187, 0.2500)
Cu (0.0000, 0.0556, 0.7500)
Cu (0.0000, 0.0931, 0.2500)
Cu (0.0000, 0.1299, 0.7500)
Cu (0.0000, 0.1678, 0.2500)
Cu (0.0000, 0.2039, 0.7500)
Cu (0.0000, 0.2429, 0.2500)
Cu (0.0000, 0.7571, 0.7500)
Cu (0.0000, 0.7961, 0.2500)
Cu (0.0000, 0.8322, 0.7500)
Cu (0.0000, 0.8701, 0.2500)
Cu (0.0000, 0.9069, 0.7500)
Cu (0.0000, 0.9444, 0.2500)
Cu (0.0000, 0.9813, 0.7500)
Cu (0.5000, 0.0187, 0.7500)
Cu (0.5000, 0.0558, 0.2500)
Cu (0.5000, 0.0932, 0.7500)
Cu (0.5000, 0.1304, 0.2500)
Cu (0.5000, 0.1678, 0.7500)
Cu (0.5000, 0.2051, 0.2500)
Cu (0.5000, 0.2429, 0.7500)
Cu (0.5000, 0.2789, 0.2500)
Cu (0.5000, 0.7211, 0.7500)
Cu (0.5000, 0.7571, 0.2500)
Cu (0.5000, 0.7949, 0.7500)
Cu (0.5000, 0.8322, 0.2500)
Cu (0.5000, 0.8696, 0.7500)
Cu (0.5000, 0.9068, 0.2500)
Cu (0.5000, 0.9442, 0.7500)
Cu (0.5000, 0.9813, 0.2500)
Hg (0.0000, 0.2941, 0.7500)
Hg (0.0000, 0.7059, 0.2500)

(8)
Cu7Hg: relaxed, PBE.

Values from the calculation:
Density in g cm⁻³: 7.56
Calculated formation energy in eV per atom: 0.101
E above lowest polymorph in meV/atom: 9.3

Cell: 2.6620 2.6620 40.0007 Å, 90.00 90.00 90.00°
Atoms (fractional coordinates):
Cu (0.2500, 0.2500, 0.0212)
Cu (0.2500, 0.2500, 0.1052)
Cu (0.2500, 0.2500, 0.1888)
Cu (0.2500, 0.2500, 0.2728)
Cu (0.2500, 0.2500, 0.7689)
Cu (0.2500, 0.2500, 0.8526)
Cu (0.2500, 0.2500, 0.9367)
Cu (0.7500, 0.7500, 0.0633)
Cu (0.7500, 0.7500, 0.1474)
Cu (0.7500, 0.7500, 0.2311)
Cu (0.7500, 0.7500, 0.7272)
Cu (0.7500, 0.7500, 0.8112)
Cu (0.7500, 0.7500, 0.8948)
Cu (0.7500, 0.7500, 0.9788)
Hg (0.2500, 0.2500, 0.6692)
Hg (0.7500, 0.7500, 0.3308)

(9)
CuHg: relaxed, PBE.

Values from the calculation:
Density in g cm⁻³: 8.36
Calculated formation energy in eV per atom: 0.582

Cell: 4.2098 4.2098 6.8347 Å, 90.00 90.00 120.00°
Atoms (fractional coordinates):
Cu (0.3333, 0.6667, 0.0000)
Cu (0.6667, 0.3333, 0.5000)
Hg (0.3333, 0.6667, 0.3761)
Hg (0.6667, 0.3333, 0.8761)

(10)
Cu7Hg2: relaxed, PBE.

Values from the calculation:
Density in g cm⁻³: 7.26
Calculated formation energy in eV per atom: 0.220

Cell: 2.7179 2.7179 30.2468 Å, 90.00 90.00 120.00°
Atoms (fractional coordinates):
Cu (0.0000, 0.0000, 0.0000)
Cu (0.0000, 0.0000, 0.1943)
Cu (0.0000, 0.0000, 0.8057)
Cu (0.3333, 0.6667, 0.1296)
Cu (0.3333, 0.6667, 0.9353)
Cu (0.6667, 0.3333, 0.0647)
Cu (0.6667, 0.3333, 0.8704)
Hg (0.3333, 0.6667, 0.7200)
Hg (0.6667, 0.3333, 0.2800)

(11)
CuHg2: relaxed, PBE.

Values from the calculation:
Density in g cm⁻³: 3.72
Calculated formation energy in eV per atom: 0.394

Cell: 8.3730 8.3730 8.3730 Å, 60.00 60.00 60.00°
Atoms (fractional coordinates):
Cu (0.1250, 0.1250, 0.1250)
Cu (0.8750, 0.8750, 0.8750)
Hg (0.0000, 0.0000, 0.0000)
Hg (0.0000, 0.0000, 0.5000)
Hg (0.0000, 0.5000, 0.0000)
Hg (0.5000, 0.0000, 0.0000)

(12)
Cu17Hg: relaxed, PBE.

Values from the calculation:
Density in g cm⁻³: 6.06
Calculated formation energy in eV per atom: 0.086

Cell: 4.4072 5.0961 31.2734 Å, 90.00 90.02 90.00°
Atoms (fractional coordinates):
Cu (0.0000, 0.0000, 0.0000)
Cu (0.0000, 0.0002, 0.2006)
Cu (0.0000, 0.9998, 0.7994)
Cu (0.0000, 0.5000, 0.0000)
Cu (0.0000, 0.4998, 0.2006)
Cu (0.0000, 0.5002, 0.7994)
Cu (0.1658, 0.2500, 0.1340)
Cu (0.1662, 0.2500, 0.7333)
Cu (0.1658, 0.2500, 0.9332)
Cu (0.1658, 0.7500, 0.9330)
Cu (0.1671, 0.7500, 0.1336)
Cu (0.3328, 0.0002, 0.8660)
Cu (0.3328, 0.4998, 0.8660)
Cu (0.3342, 0.0003, 0.0670)
Cu (0.3342, 0.4997, 0.0670)
Cu (0.3340, 0.5032, 0.2669)
Cu (0.3340, 0.9968, 0.2669)
Cu (0.4989, 0.7500, 0.0000)
Cu (0.4991, 0.7500, 0.2006)
Cu (0.4996, 0.2500, 0.2002)
Cu (0.5004, 0.7500, 0.7998)
Cu (0.5011, 0.2500, 0.0000)
Cu (0.5009, 0.2500, 0.7994)
Cu (0.6658, 0.9997, 0.9330)
Cu (0.6660, 0.0032, 0.7331)
Cu (0.6660, 0.4968, 0.7331)
Cu (0.6658, 0.5003, 0.9330)
Cu (0.6672, 0.9998, 0.1340)
Cu (0.6672, 0.5002, 0.1340)
Cu (0.8329, 0.2500, 0.8664)
Cu (0.8342, 0.2500, 0.0670)
Cu (0.8342, 0.7500, 0.0668)
Cu (0.8338, 0.7500, 0.2667)
Cu (0.8342, 0.7500, 0.8660)
Hg (0.1661, 0.7500, 0.7032)
Hg (0.8339, 0.2500, 0.2968)